1.
PBE-GGA Er3Zn2Ag, relaxed; E_tot = -3.530 eV per atom; space-group type = P4/mmm; crystal system = tetragonal; ΔH_f (0 K) = -356 meV per atom
1.0
3.554 0.000 0.000
0.000 3.554 0.000
0.000 0.000 10.650
Er Ag Zn
3 1 2
Direct
0.500 0.500 0.673
0.500 0.500 0.000
0.500 0.500 0.327
0.000 0.000 0.500
0.000 0.000 0.161
0.000 0.000 0.839


2.
PBE-GGA ErZrAg6, relaxed; E_tot = -3.915 eV per atom; space-group type = Pmm2; crystal system = orthorhombic; ΔH_f (0 K) = -158 meV per atom
1.0
4.929 0.000 0.000
0.000 6.120 0.000
0.000 0.000 5.070
Ag Zr Er
6 1 1
Direct
0.000 0.739 0.336
0.500 0.253 0.661
0.000 0.500 0.831
0.000 0.261 0.336
0.500 0.000 0.180
0.500 0.747 0.661
0.500 0.500 0.155
0.000 0.000 0.842


3.
PBE-GGA ErZrAg4, relaxed; E_tot = -4.263 eV per atom; space-group type = P4/mmm; crystal system = tetragonal; ΔH_f (0 K) = -195 meV per atom
1.0
3.622 0.000 0.000
0.000 3.622 0.000
0.000 0.000 9.116
Zr Ag Er
1 4 1
Direct
0.500 0.500 0.500
0.000 0.000 0.334
0.500 0.500 0.175
0.500 0.500 0.825
0.000 0.000 0.666
0.000 0.000 0.000